Record 1
A plane-wave DFT calculation with GGA-PBE was carried out for a relaxed PmEr2Sn9 crystal.

a = 4.7975 Å, b = 4.7975 Å, c = 13.7171 Å
α = 90.00°, β = 90.00°, γ = 90.00°
Closest atoms and distances in Å follow each position.
Positions (direct):
1 Pm 0.0000 0.0000 0.0000  12 Sn 3.35-3.39
2 Er 0.0000 0.0000 0.3343  12 Sn 3.29-3.39
3 Er 0.0000 0.0000 0.6657  12 Sn 3.29-3.39
4 Sn 0.5000 0.5000 0.0000  8 Sn 3.35, 4 Pm 3.39
5 Sn 0.5000 0.5000 0.3353  8 Sn 3.29-3.30, 4 Er 3.39
6 Sn 0.5000 0.5000 0.6647  8 Sn 3.29-3.30, 4 Er 3.39
7 Sn 0.5000 0.0000 0.1705  2 Er 3.29, 8 Sn 3.30-3.39, 2 Pm 3.35
8 Sn 0.5000 0.0000 0.5000  8 Sn 3.29-3.39, 4 Er 3.31
9 Sn 0.5000 0.0000 0.8295  2 Er 3.29, 8 Sn 3.30-3.39, 2 Pm 3.35
10 Sn 0.0000 0.5000 0.1705  2 Er 3.29, 8 Sn 3.30-3.39, 2 Pm 3.35
11 Sn 0.0000 0.5000 0.5000  8 Sn 3.29-3.39, 4 Er 3.31
12 Sn 0.0000 0.5000 0.8295  2 Er 3.29, 8 Sn 3.30-3.39, 2 Pm 3.35

Values from the calculation:
- volume (Å³/atom) = 26.31
- crystal system = tetragonal
- total DFT energy (no corrections) (eV/atom) = -4.5802
- SG = P4/mmm, No. 123
- formation energy from the elements (eV per atom) = -0.422
- magnetization (μB per atom) = 0.000


Record 2
A plane-wave DFT calculation with GGA-PBE was carried out for a relaxed TbEr3Th5 crystal.

a = 9.1554 Å, b = 9.1554 Å, c = 9.6265 Å
α = 118.39°, β = 118.39°, γ = 90.00°
Closest atoms and distances in Å follow each position.
Positions (direct):
1 Tb 0.7500 0.2500 0.5000  4 Th 3.21
2 Tb 0.2500 0.7500 0.5000  4 Th 3.21
3 Er 0.6045 0.1045 0.0000  1 Er 2.71
4 Er 0.3955 0.8955 0.0000  1 Er 2.71
5 Er 0.8955 0.6045 0.0000  1 Er 2.71
6 Er 0.1045 0.3955 0.0000  1 Er 2.71
7 Er 0.2500 0.2500 0.5000  10 Th 3.56-3.73
8 Er 0.7500 0.7500 0.5000  10 Th 3.56-3.73
9 Th 0.0804 0.5804 0.7471  1 Er 3.03, 1 Tb 3.21
10 Th 0.6667 0.1667 0.7471  1 Er 3.03, 1 Tb 3.21
11 Th 0.1667 0.0804 0.7471  1 Er 3.03, 1 Tb 3.21
12 Th 0.5804 0.6667 0.7471  1 Er 3.03, 1 Tb 3.21
13 Th 0.9196 0.4196 0.2529  1 Er 3.03, 1 Tb 3.21
14 Th 0.3333 0.8333 0.2529  1 Er 3.03, 1 Tb 3.21
15 Th 0.8333 0.9196 0.2529  1 Er 3.03, 1 Tb 3.21
16 Th 0.4196 0.3333 0.2529  1 Er 3.03, 1 Tb 3.21
17 Th 0.5000 0.5000 0.0000  6 Er 3.56-3.74, 8 Th 3.75
18 Th 0.0000 0.0000 0.0000  6 Er 3.56-3.74, 8 Th 3.75

Values from the calculation:
- volume (Å³/atom) = 33.18
- crystal system = tetragonal
- total DFT energy (no corrections) (eV/atom) = -5.7091
- SG = I4/mcm, No. 140
- formation energy from the elements (eV per atom) = 0.448
- magnetization (μB per atom) = 0.000